This record from Alexandria via LeMat-Bulk describes a relaxed structure of Re2RhCl. The functional is PBE.

Cell: 11.5085 2.7824 4.0566 Å, 90.00 97.68 90.00°
Last column: nearest neighbours and their distance in Å.
Space group C2/m (No. 12)
Unique sites:
Re 0.2022 0.0000 0.2189 (multiplicity 4)  6 Re 2.61-2.78, 1 Cl 2.73, 2 Rh 2.75
Rh 0.0000 0.5000 0.0000 (multiplicity 2)  4 Cl 2.46
Cl 0.0000 0.0000 0.5000 (multiplicity 2)  4 Rh 2.46, 2 Re 2.73

Values from the calculation:
Distance to the lowest polymorph of the same formula   355 meV/atom
ΔE_f (raw)   624.9 meV/atom
Fermi-level density of states   0.8399 states/eV per atom

=====

This record from Alexandria via LeMat-Bulk describes a relaxed structure of ReRh2Cl. The functional is PBE.

Cell: 8.7760 2.8272 6.4687 Å, 90.00 92.66 90.00°
Last column: nearest neighbours and their distance in Å.
Space group Cm (No. 8)
Unique sites:
Re 0.0000 0.0000 0.0000 (multiplicity 2)  2 Cl 2.45, 5 Rh 2.53-2.60
Rh 0.0511 0.5000 0.6780 (multiplicity 2)  1 Cl 2.45, 2 Re 2.57, 2 Rh 2.68
Rh 0.2761 0.0000 0.8692 (multiplicity 2)  3 Re 2.53-2.60, 5 Rh 2.68-2.83
Cl 0.0639 0.5000 0.3000 (multiplicity 2)  2 Re 2.45, 1 Rh 2.45

Values from the calculation:
Distance to the lowest polymorph of the same formula   238 meV/atom
ΔE_f (raw)   379.6 meV/atom
Fermi-level density of states   1.1369 states/eV per atom

=====

This record from Alexandria via LeMat-Bulk describes a relaxed structure of ReRh2Cl. The functional is PBE.

Cell: 4.7193 4.7193 2.7447 Å, 90.00 90.00 90.00°
Last column: nearest neighbours and their distance in Å.
Space group P4/mmm (No. 123)
Unique sites:
Re 0.0000 0.0000 0.0000 (multiplicity 1)  8 Rh 2.73, 2 Re 2.74
Rh 0.0000 0.5000 0.5000 (multiplicity 2)  4 Cl 2.73, 4 Re 2.73, 2 Rh 2.74
Cl 0.5000 0.5000 0.0000 (multiplicity 1)  8 Rh 2.73, 2 Cl 2.74

Values from the calculation:
Distance to the lowest polymorph of the same formula   601 meV/atom
ΔE_f (raw)   742.3 meV/atom
Fermi-level density of states   0.9003 states/eV per atom

=====

This record from Alexandria via LeMat-Bulk describes a relaxed structure of ReRh2Cl. The functional is PBE.

Cell: 4.1081 4.1081 7.1623 Å, 90.00 90.00 90.00°
Last column: nearest neighbours and their distance in Å.
Space group I4/mmm (No. 139)
Unique sites:
Re 0.0000 0.0000 0.0000 (multiplicity 2)  8 Rh 2.72, 4 Cl 2.90
Rh 0.0000 0.5000 0.2500 (multiplicity 4)  4 Re 2.72, 4 Cl 2.72, 4 Rh 2.90
Cl 0.0000 0.0000 0.5000 (multiplicity 2)  8 Rh 2.72, 4 Re 2.90

Values from the calculation:
Distance to the lowest polymorph of the same formula   713 meV/atom
ΔE_f (raw)   854.0 meV/atom
Fermi-level density of states   0.8776 states/eV per atom

=====

This record from Alexandria via LeMat-Bulk describes a relaxed structure of ReRh4Cl. The functional is PBE.

Cell: 7.2400 7.2400 7.2400 Å, 90.00 90.00 90.00°
Last column: nearest neighbours and their distance in Å.
Space group F-43m (No. 216)
Unique sites:
Re 0.0000 0.0000 0.0000 (multiplicity 4)  12 Rh 3.00, 4 Cl 3.13
Rh 0.1251 0.1251 0.6251 (multiplicity 16)  6 Rh 2.56
Cl 0.2500 0.2500 0.2500 (multiplicity 4)  12 Rh 3.00, 4 Re 3.13

Values from the calculation:
ΔE_f (raw)   908.8 meV/atom
Fermi-level density of states   1.2108 states/eV per atom

=====

This record from Alexandria via LeMat-Bulk describes a relaxed structure of Re2RhCl. The functional is PBE.

Cell: 2.7571 2.7571 7.8529 Å, 90.00 90.00 90.00°
Last column: nearest neighbours and their distance in Å.
Space group P4/mmm (No. 123)
Unique sites:
Re 0.0000 0.0000 0.2457 (multiplicity 2)  4 Rh 2.74, 4 Re 2.76, 4 Cl 2.79
Rh 0.5000 0.5000 0.0000 (multiplicity 1)  8 Re 2.74, 4 Rh 2.76
Cl 0.5000 0.5000 0.5000 (multiplicity 1)  4 Cl 2.76, 8 Re 2.79

Values from the calculation:
Distance to the lowest polymorph of the same formula   521 meV/atom
ΔE_f (raw)   791.8 meV/atom
Fermi-level density of states   1.0766 states/eV per atom

=====

This record from Alexandria via LeMat-Bulk describes a relaxed structure of ReRh2Cl. The functional is PBE.

Cell: 2.8274 3.5640 6.7303 Å, 90.00 90.00 90.00°
Last column: nearest neighbours and their distance in Å.
Space group Pmm2 (No. 25)
Unique sites:
Re 0.0000 0.0000 0.0000 (multiplicity 1)  2 Cl 2.54, 5 Rh 2.59-2.64, 2 Re 2.83
Rh 0.0000 0.0000 0.6073 (multiplicity 1)  1 Re 2.64, 6 Rh 2.68-2.83, 2 Cl 2.89
Rh 0.5000 0.5000 0.8174 (multiplicity 1)  4 Re 2.59, 6 Rh 2.68-2.83
Cl 0.0000 0.5000 0.2687 (multiplicity 1)  2 Re 2.54, 2 Cl 2.83

Values from the calculation:
Distance to the lowest polymorph of the same formula   231 meV/atom
ΔE_f (raw)   372.4 meV/atom
Fermi-level density of states   1.6136 states/eV per atom

=====

This record from Alexandria via LeMat-Bulk describes a relaxed structure of Re2RhCl. The functional is PBE.

Cell: 5.4584 5.4584 10.6129 Å, 90.00 90.00 90.00°
Last column: nearest neighbours and their distance in Å.
Space group I-42d (No. 122)
Unique sites:
Re 0.2279 0.2500 0.1250 (multiplicity 8)  2 Cl 2.27, 2 Rh 2.41
Rh 0.0000 0.0000 0.5000 (multiplicity 4)  4 Re 2.41
Cl 0.0000 0.0000 0.0000 (multiplicity 4)  4 Re 2.27

Values from the calculation:
Distance to the lowest polymorph of the same formula   1219 meV/atom
ΔE_f (raw)   1489.5 meV/atom
Fermi-level density of states   0.9737 states/eV per atom

=====

This record from Alexandria via LeMat-Bulk describes a relaxed structure of ReRhS2Cl. The functional is PBE.

Cell: 4.6837 4.6837 4.6128 Å, 90.00 90.00 90.00°
Last column: nearest neighbours and their distance in Å.
Space group P4/mmm (No. 123)
Unique sites:
Re 0.0000 0.0000 0.0000 (multiplicity 1)  8 S 3.29, 4 Cl 3.31
Rh 0.5000 0.5000 0.5000 (multiplicity 1)  2 Cl 2.31, 4 S 2.34
S 0.0000 0.5000 0.5000 (multiplicity 2)  2 Rh 2.34
Cl 0.5000 0.5000 0.0000 (multiplicity 1)  2 Rh 2.31

Values from the calculation:
Distance to the lowest polymorph of the same formula   364 meV/atom
ΔE_f (raw)   1097.7 meV/atom
Fermi-level density of states   0.5729 states/eV per atom

=====

This record from Alexandria via LeMat-Bulk describes a relaxed structure of ReRhS2Cl. The functional is PBE.

Cell: 4.5186 4.5186 5.1064 Å, 90.00 90.00 90.00°
Last column: nearest neighbours and their distance in Å.
Space group P4/mmm (No. 123)
Unique sites:
Re 0.0000 0.0000 0.0000 (multiplicity 1)  4 S 2.26
Rh 0.5000 0.5000 0.5000 (multiplicity 1)  4 Cl 3.20, 8 S 3.41
S 0.0000 0.5000 0.0000 (multiplicity 2)  2 Re 2.26
Cl 0.0000 0.0000 0.5000 (multiplicity 1)  2 Re 2.55

Values from the calculation:
Distance to the lowest polymorph of the same formula   0 meV/atom
ΔE_f (raw)   734.0 meV/atom
Fermi-level density of states   1.2366 states/eV per atom

=====

This record from Alexandria via LeMat-Bulk describes a relaxed structure of ReSbRh2Cl. The functional is PBE.

Cell: 4.3309 4.3309 5.1908 Å, 90.00 90.00 90.00°
Last column: nearest neighbours and their distance in Å.
Space group P4/mmm (No. 123)
Unique sites:
Re 0.0000 0.0000 0.0000 (multiplicity 1)  4 Sb 3.06, 8 Rh 3.38
Sb 0.5000 0.5000 0.0000 (multiplicity 1)  2 Cl 2.60
Rh 0.0000 0.5000 0.5000 (multiplicity 2)  2 Cl 2.17
Cl 0.5000 0.5000 0.5000 (multiplicity 1)  4 Rh 2.17

Values from the calculation:
ΔE_f (raw)   1441.1 meV/atom
Fermi-level density of states   1.2433 states/eV per atom

=====

This record from Alexandria via LeMat-Bulk describes a relaxed structure of SrReRh2Cl. The functional is PBE.

Cell: 4.9396 4.9396 5.0461 Å, 90.00 90.00 90.00°
Last column: nearest neighbours and their distance in Å.
Space group P4/mmm (No. 123)
Unique sites:
Sr 0.0000 0.0000 0.0000 (multiplicity 1)  4 Rh 2.47, 2 Cl 2.52
Re 0.5000 0.5000 0.5000 (multiplicity 1)  4 Cl 3.49, 8 Rh 3.53
Rh 0.0000 0.5000 0.0000 (multiplicity 2)  2 Sr 2.47
Cl 0.0000 0.0000 0.5000 (multiplicity 1)  2 Sr 2.52

Values from the calculation:
ΔE_f (raw)   2210.7 meV/atom
Fermi-level density of states   2.2319 states/eV per atom

=====

Question: Look up the Fermi-level density of states of the eighth one.
Answer: 0.9737 states/eV per atom